1.
# TlTcAgSe3 PBE relaxed
# Polymorph energy (0 for the lowest one) ... 0.099 eV/atom
# Crystal system ... orthorhombic
data_TlTcAgSe3
_chemical_formula_sum 'Tl4 Tc4 Ag4 Se12'
_cell_length_a 7.154
_cell_length_b 4.045
_cell_length_c 17.810
_cell_angle_alpha 90.00
_cell_angle_beta 90.00
_cell_angle_gamma 90.00
_symmetry_space_group_name_H-M 'P n m a'
_symmetry_Int_Tables_number 62
_symmetry_space_group_name_Hall '-P 2ac 2n'
loop_
_atom_site_label
_atom_site_fract_x
_atom_site_fract_y
_atom_site_fract_z
_atom_site_occupancy
Tl1 0.098 0.250 0.196 1
Tc1 0.249 0.750 0.466 1
Ag1 0.090 0.250 0.671 1
Se1 0.007 0.250 0.433 1
Se2 0.122 0.750 0.035 1
Se3 0.213 0.250 0.826 1

---

2.
# Zr4GaC3 PBE relaxed
# Crystal system ... hexagonal
data_Zr4GaC3
_chemical_formula_sum 'Zr8 Ga2 C6'
_cell_length_a 3.3521
_cell_length_b 3.3521
_cell_length_c 24.9374
_cell_angle_alpha 90.00
_cell_angle_beta 90.00
_cell_angle_gamma 120.00
_symmetry_space_group_name_H-M 'P 63/m m c'
_symmetry_Int_Tables_number 194
_symmetry_space_group_name_Hall '-P 6c 2c'
loop_
_atom_site_label
_atom_site_fract_x
_atom_site_fract_y
_atom_site_fract_z
_atom_site_occupancy
Zr1 0.0000 0.0000 0.1590 1
Zr2 0.3333 0.6667 0.0529 1
Ga1 0.3333 0.6667 0.2500 1
C1 0.0000 0.0000 0.0000 1
C2 0.3333 0.6667 0.6118 1

---

3.
# InAg3GeS4 PBE relaxed
# Polymorph energy (0 for the lowest one) ... 0.056 eV/atom
# Crystal system ... cubic
data_InAg3GeS4
_chemical_formula_sum 'In1 Ag3 Ge1 S4'
_cell_length_a 5.973
_cell_length_b 5.973
_cell_length_c 5.973
_cell_angle_alpha 90.00
_cell_angle_beta 90.00
_cell_angle_gamma 90.00
_symmetry_space_group_name_H-M 'P -4 3 m'
_symmetry_Int_Tables_number 215
_symmetry_space_group_name_Hall 'P -4 2 3'
loop_
_atom_site_label
_atom_site_fract_x
_atom_site_fract_y
_atom_site_fract_z
_atom_site_occupancy
In1 0.000 0.000 0.000 1
Ag1 0.000 0.500 0.500 1
Ge1 0.500 0.500 0.500 1
S1 0.245 0.245 0.245 1

---

4.
# BeInW2 PBE relaxed
# Crystal system ... cubic
data_BeInW2
_chemical_formula_sum 'Be4 In4 W8'
_cell_length_a 6.320
_cell_length_b 6.320
_cell_length_c 6.320
_cell_angle_alpha 90.00
_cell_angle_beta 90.00
_cell_angle_gamma 90.00
_symmetry_space_group_name_H-M 'F -4 3 m'
_symmetry_Int_Tables_number 216
_symmetry_space_group_name_Hall 'F -4 2 3'
loop_
_atom_site_label
_atom_site_fract_x
_atom_site_fract_y
_atom_site_fract_z
_atom_site_occupancy
Be1 0.000 0.000 0.000 1
In1 0.250 0.250 0.750 1
W1 0.000 0.000 0.500 1
W2 0.250 0.250 0.250 1

---

5.
# GdTmAlIr2 PBE relaxed
# Crystal system ... orthorhombic
data_GdTmAlIr2
_chemical_formula_sum 'Gd2 Tm2 Al2 Ir4'
_cell_length_a 4.095
_cell_length_b 5.830
_cell_length_c 8.498
_cell_angle_alpha 90.00
_cell_angle_beta 90.00
_cell_angle_gamma 90.00
_symmetry_space_group_name_H-M 'I m m 2'
_symmetry_Int_Tables_number 44
_symmetry_space_group_name_Hall 'I 2 -2'
loop_
_atom_site_label
_atom_site_fract_x
_atom_site_fract_y
_atom_site_fract_z
_atom_site_occupancy
Gd1 0.000 0.000 0.000 1
Tm1 0.000 0.000 0.604 1
Al1 0.000 0.500 0.802 1
Ir1 0.000 0.260 0.302 1

---

6.
# PmNbPd PBE relaxed
# Polymorph energy (0 for the lowest one) ... 0.000 eV/atom
# E_form ... 6.62 kcal/mol of atoms
# Crystal system ... cubic
data_PmNbPd
_chemical_formula_sum 'Pm4 Nb4 Pd4'
_cell_length_a 6.648
_cell_length_b 6.648
_cell_length_c 6.648
_cell_angle_alpha 90.00
_cell_angle_beta 90.00
_cell_angle_gamma 90.00
_symmetry_space_group_name_H-M 'F -4 3 m'
_symmetry_Int_Tables_number 216
_symmetry_space_group_name_Hall 'F -4 2 3'
loop_
_atom_site_label
_atom_site_fract_x
_atom_site_fract_y
_atom_site_fract_z
_atom_site_occupancy
Pm1 0.000 0.000 0.000 1
Nb1 0.000 0.000 0.500 1
Pd1 0.250 0.250 0.750 1

---

7.
# Fe2Ge PBE relaxed
# Crystal system ... tetragonal
data_Fe2Ge
_chemical_formula_sum 'Fe4 Ge2'
_cell_length_a 4.897
_cell_length_b 4.897
_cell_length_c 4.136
_cell_angle_alpha 90.00
_cell_angle_beta 90.00
_cell_angle_gamma 90.00
_symmetry_space_group_name_H-M 'P 42/m n m'
_symmetry_Int_Tables_number 136
_symmetry_space_group_name_Hall '-P 4n 2n'
loop_
_atom_site_label
_atom_site_fract_x
_atom_site_fract_y
_atom_site_fract_z
_atom_site_occupancy
Fe1 0.169 0.169 0.000 1
Ge1 0.000 0.000 0.500 1

---

8.
# Y2GaMo PBE relaxed
# Crystal system ... cubic
data_Y2GaMo
_chemical_formula_sum 'Y8 Ga4 Mo4'
_cell_length_a 6.963
_cell_length_b 6.963
_cell_length_c 6.963
_cell_angle_alpha 90.00
_cell_angle_beta 90.00
_cell_angle_gamma 90.00
_symmetry_space_group_name_H-M 'F -4 3 m'
_symmetry_Int_Tables_number 216
_symmetry_space_group_name_Hall 'F -4 2 3'
loop_
_atom_site_label
_atom_site_fract_x
_atom_site_fract_y
_atom_site_fract_z
_atom_site_occupancy
Y1 0.000 0.000 0.000 1
Y2 0.250 0.250 0.250 1
Ga1 0.000 0.000 0.500 1
Mo1 0.250 0.250 0.750 1

---

9.
# GaRePd PBE relaxed
# Polymorph energy (0 for the lowest one) ... 0.000 eV/atom
# Crystal system ... cubic
data_GaRePd
_chemical_formula_sum 'Ga4 Re4 Pd4'
_cell_length_a 5.966
_cell_length_b 5.966
_cell_length_c 5.966
_cell_angle_alpha 90.00
_cell_angle_beta 90.00
_cell_angle_gamma 90.00
_symmetry_space_group_name_H-M 'F -4 3 m'
_symmetry_Int_Tables_number 216
_symmetry_space_group_name_Hall 'F -4 2 3'
loop_
_atom_site_label
_atom_site_fract_x
_atom_site_fract_y
_atom_site_fract_z
_atom_site_occupancy
Ga1 0.000 0.000 0.000 1
Re1 0.000 0.000 0.500 1
Pd1 0.250 0.250 0.750 1

---

10.
# Np2SeF4 PBE relaxed
# Crystal system ... trigonal
data_Np2SeF4
_chemical_formula_sum 'Np6 Se3 F12'
_cell_length_a 4.0866
_cell_length_b 4.0866
_cell_length_c 22.2951
_cell_angle_alpha 90.00
_cell_angle_beta 90.00
_cell_angle_gamma 120.00
_symmetry_space_group_name_H-M 'R -3 m'
_symmetry_Int_Tables_number 166
_symmetry_space_group_name_Hall '-R 3 2"'
loop_
_atom_site_label
_atom_site_fract_x
_atom_site_fract_y
_atom_site_fract_z
_atom_site_occupancy
Np1 0.0000 0.0000 0.2463 1
Se1 0.0000 0.0000 0.0000 1
F1 0.0000 0.0000 0.1395 1
F2 0.0000 0.0000 0.4316 1

---

11.
# NdAgO3 PBE relaxed
# Crystal system ... orthorhombic
data_NdAgO3
_chemical_formula_sum 'Nd4 Ag4 O12'
_cell_length_a 5.992
_cell_length_b 7.969
_cell_length_c 5.569
_cell_angle_alpha 90.00
_cell_angle_beta 90.00
_cell_angle_gamma 90.00
_symmetry_space_group_name_H-M 'P n m a'
_symmetry_Int_Tables_number 62
_symmetry_space_group_name_Hall '-P 2ac 2n'
loop_
_atom_site_label
_atom_site_fract_x
_atom_site_fract_y
_atom_site_fract_z
_atom_site_occupancy
Nd1 0.077 0.250 0.024 1
Ag1 0.000 0.000 0.500 1
O1 0.045 0.750 0.376 1
O2 0.189 0.561 0.805 1

---

12.
# Lu2TaSi PBE relaxed
# Crystal system ... cubic
data_Lu2TaSi
_chemical_formula_sum 'Lu8 Ta4 Si4'
_cell_length_a 6.851
_cell_length_b 6.851
_cell_length_c 6.851
_cell_angle_alpha 90.00
_cell_angle_beta 90.00
_cell_angle_gamma 90.00
_symmetry_space_group_name_H-M 'F -4 3 m'
_symmetry_Int_Tables_number 216
_symmetry_space_group_name_Hall 'F -4 2 3'
loop_
_atom_site_label
_atom_site_fract_x
_atom_site_fract_y
_atom_site_fract_z
_atom_site_occupancy
Lu1 0.000 0.000 0.000 1
Lu2 0.250 0.250 0.250 1
Ta1 0.250 0.250 0.750 1
Si1 0.000 0.000 0.500 1

---

13.
# CsHgBiTe3 PBE relaxed
# Crystal system ... orthorhombic
data_CsHgBiTe3
_chemical_formula_sum 'Cs4 Hg4 Bi4 Te12'
_cell_length_a 4.635
_cell_length_b 16.824
_cell_length_c 12.017
_cell_angle_alpha 90.00
_cell_angle_beta 90.00
_cell_angle_gamma 90.00
_symmetry_space_group_name_H-M 'C m c m'
_symmetry_Int_Tables_number 63
_symmetry_space_group_name_Hall '-C 2c 2'
loop_
_atom_site_label
_atom_site_fract_x
_atom_site_fract_y
_atom_site_fract_z
_atom_site_occupancy
Cs1 0.000 0.250 0.250 1
Hg1 0.000 0.049 0.750 1
Bi1 0.000 0.500 0.000 1
Te1 0.000 0.128 0.540 1
Te2 0.000 0.438 0.750 1

---

14.
# UZnB PBE relaxed
# Polymorph energy (0 for the lowest one) ... 0.000 eV/atom
# Crystal system ... cubic
data_UZnB
_chemical_formula_sum 'U4 Zn4 B4'
_cell_length_a 5.905
_cell_length_b 5.905
_cell_length_c 5.905
_cell_angle_alpha 90.00
_cell_angle_beta 90.00
_cell_angle_gamma 90.00
_symmetry_space_group_name_H-M 'F -4 3 m'
_symmetry_Int_Tables_number 216
_symmetry_space_group_name_Hall 'F -4 2 3'
loop_
_atom_site_label
_atom_site_fract_x
_atom_site_fract_y
_atom_site_fract_z
_atom_site_occupancy
U1 0.000 0.000 0.000 1
Zn1 0.000 0.000 0.500 1
B1 0.250 0.250 0.250 1

---

15.
# PrGdNi2Ge4 PBE relaxed
# Crystal system ... orthorhombic
data_PrGdNi2Ge4
_chemical_formula_sum 'Pr2 Gd2 Ni4 Ge8'
_cell_length_a 4.230
_cell_length_b 4.219
_cell_length_c 16.726
_cell_angle_alpha 90.00
_cell_angle_beta 90.00
_cell_angle_gamma 90.00
_symmetry_space_group_name_H-M 'A m m 2'
_symmetry_Int_Tables_number 38
_symmetry_space_group_name_Hall 'A 2 -2'
loop_
_atom_site_label
_atom_site_fract_x
_atom_site_fract_y
_atom_site_fract_z
_atom_site_occupancy
Pr1 0.000 0.000 0.000 1
Gd1 0.500 0.000 0.216 1
Ni1 0.000 0.000 0.788 1
Ni2 0.500 0.000 0.426 1
Ge1 0.000 0.000 0.357 1
Ge2 0.000 0.000 0.651 1
Ge3 0.500 0.000 0.566 1
Ge4 0.500 0.000 0.856 1

---

16.
# PaCo PBE relaxed
# E_form ... -8.39 kcal/mol of atoms
# Crystal system ... orthorhombic
data_PaCo
_chemical_formula_sum 'Pa4 Co4'
_cell_length_a 7.253
_cell_length_b 3.651
_cell_length_c 5.550
_cell_angle_alpha 90.00
_cell_angle_beta 90.00
_cell_angle_gamma 90.00
_symmetry_space_group_name_H-M 'P n m a'
_symmetry_Int_Tables_number 62
_symmetry_space_group_name_Hall '-P 2ac 2n'
loop_
_atom_site_label
_atom_site_fract_x
_atom_site_fract_y
_atom_site_fract_z
_atom_site_occupancy
Pa1 0.170 0.250 0.170 1
Co1 0.061 0.250 0.664 1

---

17.
# HoGa6 PBE relaxed
# Polymorph energy (0 for the lowest one) ... 0.000 eV/atom
# Crystal system ... tetragonal
data_HoGa6
_chemical_formula_sum 'Ho2 Ga12'
_cell_length_a 5.950
_cell_length_b 5.950
_cell_length_c 7.573
_cell_angle_alpha 90.00
_cell_angle_beta 90.00
_cell_angle_gamma 90.00
_symmetry_space_group_name_H-M 'P 4/n b m'
_symmetry_Int_Tables_number 125
loop_
_symmetry_equiv_pos_as_xyz
'x,y,z'
'-x,-y,-z'
'-y+1/2,x,z'
'y+1/2,-x,-z'
'-x+1/2,-y+1/2,z'
'x+1/2,y+1/2,-z'
'y,-x+1/2,z'
'-y,x+1/2,-z'
'x,-y+1/2,-z'
'-x,y+1/2,z'
'-y+1/2,-x+1/2,-z'
'y+1/2,x+1/2,z'
'-x+1/2,y,-z'
'x+1/2,-y,z'
'y,x,-z'
'-y,-x,z'
loop_
_atom_site_label
_atom_site_fract_x
_atom_site_fract_y
_atom_site_fract_z
_atom_site_occupancy
Ho1 0.250 0.750 0.000 1
Ga1 0.071 0.571 0.352 1
Ga2 0.250 0.250 0.161 1

---

18.
# YEr2TmGa4 PBE relaxed
# Crystal system ... orthorhombic
data_YEr2TmGa4
_chemical_formula_sum 'Y2 Er4 Tm2 Ga8'
_cell_length_a 6.579
_cell_length_b 4.316
_cell_length_c 13.137
_cell_angle_alpha 90.00
_cell_angle_beta 90.00
_cell_angle_gamma 90.00
_symmetry_space_group_name_H-M 'A m m 2'
_symmetry_Int_Tables_number 38
_symmetry_space_group_name_Hall 'A 2 -2'
loop_
_atom_site_label
_atom_site_fract_x
_atom_site_fract_y
_atom_site_fract_z
_atom_site_occupancy
Y1 0.000 0.000 0.000 1
Er1 0.000 0.000 0.724 1
Er2 0.500 0.000 0.170 1
Tm1 0.500 0.000 0.895 1
Ga1 0.197 0.000 0.349 1
Ga2 0.304 0.000 0.545 1

---

19.
# TbZnO3 PBE relaxed
# Crystal system ... orthorhombic
data_TbZnO3
_chemical_formula_sum 'Tb4 Zn4 O12'
_cell_length_a 5.773
_cell_length_b 7.504
_cell_length_c 5.256
_cell_angle_alpha 90.00
_cell_angle_beta 90.00
_cell_angle_gamma 90.00
_symmetry_space_group_name_H-M 'P n m a'
_symmetry_Int_Tables_number 62
_symmetry_space_group_name_Hall '-P 2ac 2n'
loop_
_atom_site_label
_atom_site_fract_x
_atom_site_fract_y
_atom_site_fract_z
_atom_site_occupancy
Tb1 0.084 0.250 0.022 1
Zn1 0.000 0.000 0.500 1
O1 0.034 0.750 0.388 1
O2 0.184 0.554 0.806 1

---

20.
# SmHgSeO PBE relaxed
# Polymorph energy (0 for the lowest one) ... 0.000 eV/atom
# Crystal system ... monoclinic
data_SmHgSeO
_chemical_formula_sum 'Sm4 Hg4 Se4 O4'
_cell_length_a 5.763
_cell_length_b 5.806
_cell_length_c 11.622
_cell_angle_alpha 90.00
_cell_angle_beta 91.44
_cell_angle_gamma 90.00
_symmetry_space_group_name_H-M 'P 1 21 1'
_symmetry_Int_Tables_number 4
_symmetry_space_group_name_Hall 'P 2yb'
loop_
_atom_site_label
_atom_site_fract_x
_atom_site_fract_y
_atom_site_fract_z
_atom_site_occupancy
Sm1 0.003 0.000 0.095 1
Sm2 0.496 0.001 0.903 1
Hg1 0.206 0.769 0.498 1
Hg2 0.494 0.023 0.320 1
Se1 0.183 0.325 0.283 1
Se2 0.200 0.220 0.711 1
O1 0.250 0.749 0.000 1
O2 0.255 0.249 0.000 1

---

no.,electronic total energy (eV/atom)
1,-4.4127
2,-8.8992
3,-3.7358
4,-7.5343
5,-7.0569
6,-6.3845
7,-6.4079
8,-6.5109
9,-6.2979
10,-8.1329
11,-6.1338
12,-6.3982
13,-2.9190
14,-6.0377
15,-5.6168
16,-8.6652
17,-3.5580
18,-4.6566
19,-6.3356
20,-5.1986